Record 1
This record from the Alexandria database describes an optimized crystal structure of Rb2LiIn12Ag3. The functional is PBE.

Computed properties:
symmetry	R-3m, No. 166
DOS(E_F)	8.276	states/eV/cell
E_form	0.027	eV/atom

Cell lengths 11.8673, 11.8673, 11.8673 Å; angles 36.81, 36.81, 36.81 degrees
With the nearest neighbours (Å) after each atom.
Fractional positions:
Rb: 0.6476 0.6476 0.6476  12 In 3.82-4.12
Rb: 0.3524 0.3524 0.3524  12 In 3.82-4.12
In: 0.5907 0.1826 0.5907  2 Ag 2.82, 4 In 3.03-3.06
In: 0.8174 0.4093 0.4093  2 Ag 2.82, 4 In 3.03-3.06
In: 0.9241 0.3613 0.9241  1 Li 2.99, 4 In 3.03-3.28, 1 Ag 3.22
In: 0.4093 0.8174 0.4093  2 Ag 2.82, 4 In 3.03-3.06
In: 0.4093 0.4093 0.8174  2 Ag 2.82, 4 In 3.03-3.06
In: 0.0759 0.0759 0.6387  1 Li 2.99, 4 In 3.03-3.28, 1 Ag 3.22
In: 0.6387 0.0759 0.0759  1 Li 2.99, 4 In 3.03-3.28, 1 Ag 3.22
In: 0.9241 0.9241 0.3613  1 Li 2.99, 4 In 3.03-3.28, 1 Ag 3.22
In: 0.1826 0.5907 0.5907  2 Ag 2.82, 4 In 3.03-3.06
In: 0.5907 0.5907 0.1826  2 Ag 2.82, 4 In 3.03-3.06
In: 0.0759 0.6387 0.0759  1 Li 2.99, 4 In 3.03-3.28, 1 Ag 3.22
In: 0.3613 0.9241 0.9241  1 Li 2.99, 4 In 3.03-3.28, 1 Ag 3.22
Li: 0.0000 0.0000 0.0000  6 In 2.99
Ag: 0.0000 0.0000 0.5000  4 In 2.82
Ag: 0.5000 0.0000 0.0000  4 In 2.82
Ag: 0.0000 0.5000 0.0000  4 In 2.82

=====

Record 2
This record from the Alexandria database describes an optimized crystal structure of Nd2Dy3Th4. The functional is PBE.

Computed properties:
symmetry	C2/m, No. 12
DOS(E_F)	14.350	states/eV/cell
E_form	0.059	eV/atom

Cell lengths 3.6019, 9.7510, 9.5171 Å; angles 114.97, 100.91, 90.00 degrees
With the nearest neighbours (Å) after each atom.
Fractional positions:
Nd: 0.3364 0.0004 0.6728  5 Dy 3.55-3.64, 4 Nd 3.60-3.69, 3 Th 3.64-3.65
Nd: 0.6636 0.9996 0.3272  5 Dy 3.55-3.64, 4 Nd 3.60-3.69, 3 Th 3.64-3.65
Th: 0.8161 0.6598 0.6321  6 Th 3.46-3.60, 4 Dy 3.53-3.66, 2 Nd 3.65
Th: 0.5252 0.3369 0.0504  5 Th 3.46-3.68, 6 Dy 3.53-3.67, 1 Nd 3.64
Th: 0.4748 0.6631 0.9496  5 Th 3.46-3.68, 6 Dy 3.53-3.67, 1 Nd 3.64
Th: 0.1840 0.3402 0.3679  6 Th 3.46-3.60, 4 Dy 3.53-3.66, 2 Nd 3.65
Dy: 0.0000 0.0000 0.0000  4 Nd 3.55, 6 Th 3.60-3.61, 2 Dy 3.60
Dy: 0.1468 0.6663 0.2936  7 Th 3.53-3.67, 2 Dy 3.60, 3 Nd 3.61-3.64
Dy: 0.8532 0.3337 0.7064  7 Th 3.53-3.67, 2 Dy 3.60, 3 Nd 3.61-3.64

=====

Record 3
This record from the Alexandria database describes an optimized crystal structure of CdAgTe. The functional is PBE.

Computed properties:
symmetry	Imm2, No. 44
DOS(E_F)	1.621	states/eV/cell
ΔE to the lowest computed polymorph	200	meV per atom

Cell lengths 5.6671, 5.6671, 5.6671 Å; angles 145.27, 135.47, 57.67 degrees
With the nearest neighbours (Å) after each atom.
Fractional positions:
Cd: 0.3462 0.3462 0.0000  4 Ag 3.08, 5 Te 3.16-3.28, 2 Cd 3.38
Te: 0.6643 0.6643 0.0000  5 Cd 3.16-3.28, 5 Ag 3.23-3.24, 2 Te 3.38
Ag: 0.9895 0.9895 0.0000  4 Cd 3.08, 5 Te 3.23-3.24, 2 Ag 3.38

=====

Record 4
This record from the Alexandria database describes an optimized crystal structure of Cs8RbAu4. The functional is PBE.

Computed properties:
symmetry	F-43m, No. 216
DOS(E_F)	7.130	states/eV/cell
E_form	-0.162	eV/atom
ΔE to the lowest computed polymorph	45	meV per atom

Cell lengths 11.0051, 11.0051, 11.0051 Å; angles 60.00, 60.00, 60.00 degrees
With the nearest neighbours (Å) after each atom.
Fractional positions:
Au: 0.3727 0.3727 0.3727  6 Cs 3.60-3.72
Au: 0.3727 0.3727 0.8819  6 Cs 3.60-3.72
Au: 0.3727 0.8819 0.3727  6 Cs 3.60-3.72
Au: 0.8819 0.3727 0.3727  6 Cs 3.60-3.72
Cs: 0.5993 0.1336 0.1336  3 Au 3.72
Cs: 0.1964 0.6012 0.6012  3 Au 3.60, 1 Rb 4.01
Cs: 0.1336 0.1336 0.1336  3 Au 3.72
Cs: 0.6012 0.6012 0.1964  3 Au 3.60, 1 Rb 4.01
Cs: 0.6012 0.1964 0.6012  3 Au 3.60, 1 Rb 4.01
Cs: 0.1336 0.5993 0.1336  3 Au 3.72
Cs: 0.6012 0.6012 0.6012  3 Au 3.60, 1 Rb 4.01
Cs: 0.1336 0.1336 0.5993  3 Au 3.72
Rb: 0.7500 0.7500 0.7500  4 Cs 4.01

=====

Record 5
This record from the Alexandria database describes an optimized crystal structure of Cd2Hg2Cl. The functional is PBE.

Computed properties:
symmetry	P4/mbm, No. 127
DOS(E_F)	4.093	states/eV/cell
ΔE to the lowest computed polymorph	54	meV per atom

Cell lengths 8.4095, 8.4095, 3.6107 Å; angles 90.00, 90.00, 90.00 degrees
With the nearest neighbours (Å) after each atom.
Fractional positions:
Cl: 0.5000 0.5000 0.0000  4 Hg 3.31, 8 Cd 3.58, 2 Cl 3.61
Cl: 0.0000 0.0000 0.0000  4 Hg 3.31, 8 Cd 3.58, 2 Cl 3.61
Hg: 0.8729 0.6271 0.0000  6 Cd 2.92-3.18, 1 Hg 3.02
Hg: 0.3729 0.8729 0.0000  6 Cd 2.92-3.18, 1 Hg 3.02
Hg: 0.1271 0.3729 0.0000  6 Cd 2.92-3.18, 1 Hg 3.02
Hg: 0.6271 0.1271 0.0000  6 Cd 2.92-3.18, 1 Hg 3.02
Cd: 0.3206 0.1794 0.5000  6 Hg 2.92-3.18
Cd: 0.6794 0.8206 0.5000  6 Hg 2.92-3.18
Cd: 0.8206 0.3206 0.5000  6 Hg 2.92-3.18
Cd: 0.1794 0.6794 0.5000  6 Hg 2.92-3.18

=====

Record 6
This record from the Alexandria database describes an optimized crystal structure of Ac3CuSn. The functional is PBE.

Computed properties:
symmetry	P1, No. 1
DOS(E_F)	10.300	states/eV/cell
E_form	-0.210	eV/atom
ΔE to the lowest computed polymorph	0	meV per atom

Cell lengths 5.8984, 7.5709, 7.8872 Å; angles 96.89, 89.67, 89.90 degrees
With the nearest neighbours (Å) after each atom.
Fractional positions:
Ac: 0.5463 0.8935 0.1649  1 Cu 3.00
Ac: 0.5393 0.3567 0.0172  3 Cu 2.94-3.22
Ac: 0.0447 0.1814 0.4201  1 Cu 3.02
Ac: 0.0444 0.6560 0.8359  3 Cu 2.95-3.19
Ac: 0.5458 0.4961 0.4671  1 Cu 2.96
Ac: 0.5434 0.9947 0.6608  1 Cu 2.94
Sn: 0.0462 0.7278 0.3893  1 Cu 2.62
Sn: 0.0412 0.1255 0.9336  1 Cu 2.84
Cu: 0.5447 0.6663 0.8257  6 Ac 2.94-3.00
Cu: 0.0351 0.4451 0.1622  2 Sn 2.62-2.84

=====

Record 7
This record from the Alexandria database describes an optimized crystal structure of CaAc2OsO8. The functional is PBE.

Computed properties:
symmetry	P-1, No. 2
E_tot	-88.0	eV per cell

Cell lengths 4.9112, 5.4093, 7.3898 Å; angles 88.79, 85.51, 92.93 degrees
With the nearest neighbours (Å) after each atom.
Fractional positions:
O: 0.8631 0.2609 0.8656  1 Os 1.89
O: 0.1369 0.7391 0.1344  1 Os 1.89
O: 0.2905 0.3239 0.4769  1 Ca 2.20, 2 Ac 2.35-2.36
O: 0.2975 0.2086 0.0455  1 Os 1.86
O: 0.7095 0.6761 0.5231  1 Ca 2.20, 2 Ac 2.35-2.36
O: 0.7025 0.7914 0.9545  1 Os 1.86
O: 0.1870 0.9018 0.7801  1 Os 1.90
O: 0.8130 0.0982 0.2199  1 Os 1.90
Ca: 0.0000 0.0000 0.5000  4 O 2.20-2.39
Ac: 0.5944 0.5089 0.2451  4 O 2.35-2.61
Ac: 0.4056 0.4911 0.7549  4 O 2.35-2.61
Os: 0.0000 0.0000 0.0000  6 O 1.86-1.90

=====

Record 8
This record from the Alexandria database describes an optimized crystal structure of Pm2SiS5. The functional is PBE.

Computed properties:
symmetry	I4mm, No. 107
E_tot	-45.5	eV per cell

Cell lengths 6.7075, 6.7075, 6.2800 Å; angles 122.28, 122.28, 90.00 degrees
With the nearest neighbours (Å) after each atom.
Fractional positions:
S: 0.2615 0.8033 0.0648  1 Si 2.23
S: 0.7195 0.7195 0.4391  1 Si 2.08
S: 0.2615 0.2615 0.0648  1 Si 2.23
S: 0.8033 0.8033 0.0648  1 Si 2.23
S: 0.8033 0.2615 0.0648  1 Si 2.23
Si: 0.9719 0.9719 0.9438  5 S 2.08-2.23
Pm: 0.7280 0.2280 0.4560  4 S 2.87
Pm: 0.2280 0.7280 0.4560  4 S 2.87